Version 1
Here is a relaxed MoRh2Cl crystal from Alexandria. Energies are from GGA-PBE.

Computed properties:
**Total magnetic moment**: 0.000 μB/cell
**Mass density**: 6.837 g/cm3

a = 4.6460 Å, b = 4.6460 Å, c = 6.4628 Å
α = 84.83°, β = 84.83°, γ = 36.14°
Positions (direct):
Cl (0.6445, 0.6445, 0.4617)
Rh (0.6808, 0.6808, 0.8443)
Rh (0.9490, 0.9490, 0.0317)
Mo (0.2257, 0.2257, 0.1622)

Version 2
Here is a relaxed MoRh2Cl crystal from Alexandria. Energies are from GGA-PBE.

Computed properties:
**Total magnetic moment**: 0.000 μB/cell
**Mass density**: 8.995 g/cm3

a = 4.4485 Å, b = 4.4485 Å, c = 4.4485 Å
α = 60.00°, β = 60.00°, γ = 60.00°
Positions (direct):
Cl (0.0000, 0.0000, 0.0000)
Mo (0.5000, 0.5000, 0.5000)
Rh (0.7500, 0.7500, 0.7500)
Rh (0.2500, 0.2500, 0.2500)

Version 3
Here is a relaxed MoRh2Cl crystal from Alexandria. Energies are from GGA-PBE.

Computed properties:
**Total magnetic moment**: 0.000 μB/cell
**Mass density**: 9.295 g/cm3

a = 4.9309 Å, b = 4.9309 Å, c = 4.4983 Å
α = 90.34°, β = 90.34°, γ = 33.42°
Positions (direct):
Rh (0.5241, 0.5241, 0.4933)
Rh (0.9759, 0.9759, 0.0067)
Cl (0.7500, 0.7500, 0.7500)
Mo (0.2500, 0.2500, 0.2500)

Version 4
Here is a relaxed MoRh2Cl crystal from Alexandria. Energies are from GGA-PBE.

Computed properties:
**Total magnetic moment**: 0.000 μB/cell
**Mass density**: 9.181 g/cm3

a = 5.4175 Å, b = 5.4175 Å, c = 5.4175 Å
α = 149.28°, β = 130.81°, γ = 59.12°
Positions (direct):
Rh (0.0264, 0.0264, 0.0000)
Rh (0.7251, 0.2251, 0.5000)
Mo (0.2700, 0.7700, 0.5000)
Cl (0.4785, 0.4785, 0.0000)

It is version 2 that is the least stable of them.

Version 1
Here is a relaxed MoRh2Cl crystal from Alexandria. Energies are from GGA-PBE.

Computed properties:
**Total magnetic moment**: 0.000 μB/cell
**Mass density**: 9.129 g/cm3

a = 8.6377 Å, b = 8.6377 Å, c = 8.6377 Å
α = 19.27°, β = 19.27°, γ = 19.27°
Positions (direct):
Rh (0.5010, 0.5010, 0.5010)
Rh (0.9990, 0.9990, 0.9990)
Mo (0.2500, 0.2500, 0.2500)
Cl (0.7500, 0.7500, 0.7500)

Version 2
Here is a relaxed MoRh2Cl crystal from Alexandria. Energies are from GGA-PBE.

Computed properties:
**Total magnetic moment**: 0.000 μB/cell
**Mass density**: 6.812 g/cm3

a = 6.1352 Å, b = 6.1352 Å, c = 6.1562 Å
α = 60.11°, β = 60.11°, γ = 90.00°
Positions (direct):
Cl (0.5000, 0.5000, 0.0000)
Cl (0.2500, 0.7500, 0.5000)
Rh (0.3750, 0.3631, 0.7500)
Rh (0.8750, 0.8869, 0.7500)
Rh (0.1131, 0.6250, 0.2500)
Rh (0.6369, 0.1250, 0.2500)
Mo (0.7500, 0.2500, 0.5000)
Mo (0.0000, 0.0000, 0.0000)

Version 3
Here is a relaxed MoRh2Cl crystal from Alexandria. Energies are from GGA-PBE.

Computed properties:
**Total magnetic moment**: 0.928 μB/cell
**Mass density**: 9.181 g/cm3

a = 8.7675 Å, b = 8.7675 Å, c = 8.7675 Å
α = 18.77°, β = 18.77°, γ = 18.77°
Each line ends with the local moment (μB).
Positions (direct):
Rh (0.9964, 0.9964, 0.9964)  0.19
Rh (0.7490, 0.7490, 0.7490)  0.78
Cl (0.5071, 0.5071, 0.5071)  0.01
Mo (0.2476, 0.2476, 0.2476)  -0.05

It is version 2 that is the least stable of them.

Version 1
Here is a relaxed MoRh2Cl crystal from Alexandria. Energies are from GGA-PBE.

Computed properties:
**Total magnetic moment**: 0.001 μB/cell
**Mass density**: 9.147 g/cm3

a = 4.6898 Å, b = 4.6898 Å, c = 4.6898 Å
α = 128.65°, β = 128.65°, γ = 75.58°
Positions (direct):
Rh (0.0000, 0.0000, 0.0000)
Rh (0.5000, 0.5000, 0.0000)
Mo (0.7500, 0.2500, 0.5000)
Cl (0.2500, 0.7500, 0.5000)

Version 2
Here is a relaxed MoRh2Cl crystal from Alexandria. Energies are from GGA-PBE.

Computed properties:
**Total magnetic moment**: 0.000 μB/cell
**Mass density**: 9.462 g/cm3

a = 5.2607 Å, b = 5.2607 Å, c = 5.2607 Å
α = 148.56°, β = 128.12°, γ = 61.93°
Positions (direct):
Cl (0.7500, 0.2500, 0.5000)
Rh (0.5081, 0.5081, 0.0000)
Rh (0.9919, 0.9919, 0.0000)
Mo (0.2500, 0.7500, 0.5000)

It is version 1 that is the least stable of them.

Version 1
Here is a relaxed Mo2RhCl crystal from Alexandria. Energies are from GGA-PBE.

Computed properties:
**Total magnetic moment**: 0.000 μB/cell
**Mass density**: 8.440 g/cm3

a = 3.8634 Å, b = 2.8061 Å, c = 5.9929 Å
α = 89.99°, β = 90.00°, γ = 90.00°
Positions (direct):
Rh (0.5000, 0.2500, 0.2500)
Mo (0.0000, 0.7500, 0.4697)
Mo (0.0000, 0.7500, 0.0303)
Cl (0.5000, 0.7500, 0.7500)

Version 2
Here is a relaxed Mo2RhCl crystal from Alexandria. Energies are from GGA-PBE.

Computed properties:
**Total magnetic moment**: 0.000 μB/cell
**Mass density**: 8.215 g/cm3

a = 9.4718 Å, b = 9.4718 Å, c = 9.4718 Å
α = 17.46°, β = 17.46°, γ = 17.46°
Positions (direct):
Mo (0.2502, 0.2502, 0.2502)
Mo (0.0036, 0.0036, 0.0036)
Rh (0.5108, 0.5108, 0.5108)
Cl (0.7354, 0.7354, 0.7354)

Version 3
Here is a relaxed Mo2RhCl crystal from Alexandria. Energies are from GGA-PBE.

Computed properties:
**Total magnetic moment**: 0.000 μB/cell
**Mass density**: 8.878 g/cm3

a = 5.2186 Å, b = 5.0593 Å, c = 2.8320 Å
α = 81.28°, β = 75.59°, γ = 116.49°
Positions (direct):
Rh (0.0000, 0.5000, 0.5000)
Cl (0.5000, 0.5000, 0.0000)
Mo (0.0000, 0.0000, 0.0000)
Mo (0.5000, 0.0000, 0.5000)

It is version 3 that is the least stable of them.

Version 1
Here is a relaxed Mo2RhCl crystal from Alexandria. Energies are from GGA-PBE.

Computed properties:
**Total magnetic moment**: 0.000 μB/cell
**Mass density**: 9.074 g/cm3

a = 4.4049 Å, b = 4.4049 Å, c = 4.4049 Å
α = 60.00°, β = 60.00°, γ = 60.00°
Positions (direct):
Mo (0.2500, 0.2500, 0.2500)
Mo (0.7500, 0.7500, 0.7500)
Rh (0.5000, 0.5000, 0.5000)
Cl (0.0000, 0.0000, 0.0000)

Version 2
Here is a relaxed Mo2RhCl crystal from Alexandria. Energies are from GGA-PBE.

Computed properties:
**Total magnetic moment**: 0.000 μB/cell
**Mass density**: 8.900 g/cm3

a = 4.2029 Å, b = 2.7950 Å, c = 5.4307 Å
α = 74.98°, β = 90.00°, γ = 90.00°
Positions (direct):
Mo (0.0000, 0.8232, 0.9769)
Mo (0.5000, 0.1692, 0.2894)
Cl (0.5000, 0.9380, 0.7481)
Rh (0.0000, 0.5696, 0.4855)

Version 3
Here is a relaxed Mo2RhCl crystal from Alexandria. Energies are from GGA-PBE.

Computed properties:
**Total magnetic moment**: 0.000 μB/cell
**Mass density**: 8.792 g/cm3

a = 2.9451 Å, b = 4.4448 Å, c = 4.7649 Å
α = 90.00°, β = 90.00°, γ = 90.00°
Positions (direct):
Mo (0.0000, 0.0000, 0.0000)
Mo (0.5000, 0.5000, 0.0000)
Rh (0.5000, 0.0000, 0.5000)
Cl (0.0000, 0.5000, 0.5000)

It is version 3 that is the least stable of them.

Version 1
Here is a relaxed Mo2RhCl crystal from Alexandria. Energies are from GGA-PBE.

Computed properties:
**Total magnetic moment**: 0.000 μB/cell
**Mass density**: 8.463 g/cm3

a = 2.8585 Å, b = 2.8585 Å, c = 7.9304 Å
α = 90.00°, β = 90.00°, γ = 89.97°
Positions (direct):
Cl (0.5000, 0.5000, 0.7836)
Rh (0.0000, 0.0000, 0.4702)
Mo (0.0000, 0.0000, 0.9946)
Mo (0.5000, 0.5000, 0.2516)

Version 2
Here is a relaxed Mo2RhCl crystal from Alexandria. Energies are from GGA-PBE.

Computed properties:
**Total magnetic moment**: 0.296 μB/cell
**Mass density**: 8.801 g/cm3

a = 5.0318 Å, b = 5.0318 Å, c = 5.0318 Å
α = 135.21°, β = 135.21°, γ = 65.20°
Each line ends with the local moment (μB).
Positions (direct):
Mo (0.0000, 0.0000, 0.0000)  -0.18
Mo (0.2500, 0.7500, 0.5000)  0.43
Rh (0.5000, 0.5000, 0.0000)  0.00
Cl (0.7500, 0.2500, 0.5000)  0.00

Version 3
Here is a relaxed Mo2RhCl crystal from Alexandria. Energies are from GGA-PBE.

Computed properties:
**Total magnetic moment**: 0.000 μB/cell
**Mass density**: 8.791 g/cm3

a = 5.1799 Å, b = 5.1799 Å, c = 5.1799 Å
α = 137.64°, β = 137.64°, γ = 61.45°
Positions (direct):
Rh (0.2500, 0.7500, 0.5000)
Cl (0.7500, 0.2500, 0.5000)
Mo (0.5000, 0.5000, 0.0000)
Mo (0.0000, 0.0000, 0.0000)

Version 4
Here is a relaxed Mo2RhCl crystal from Alexandria. Energies are from GGA-PBE.

Computed properties:
**Total magnetic moment**: 0.000 μB/cell
**Mass density**: 8.665 g/cm3

a = 2.8441 Å, b = 2.8441 Å, c = 8.9700 Å
α = 90.00°, β = 90.00°, γ = 119.29°
Positions (direct):
Mo (0.0000, 0.0000, 0.5000)
Mo (0.0000, 0.0000, 0.0000)
Rh (0.5000, 0.5000, 0.2500)
Cl (0.5000, 0.5000, 0.7500)

It is version 2 that is the least stable of them.